Entry 1:
4
Lattice="3.924 0.000 0.000 0.000 4.617 0.000 -1.962 0.000 5.478" Properties=species:S:1:pos:R:3 comment="LaPmCuPd | Alexandria via LeMat-Bulk | PBE | relaxed" mass_density_g_cm3=7.6 magmom_total_mub_per_cell=0.0 delta_e_f_ev_per_atom=-0.5028 pbc="T T T"
La 1.962 2.308 3.960
Pm 0.000 0.000 1.498
Cu 1.962 2.308 0.838
Pd 0.000 0.000 4.659



Entry 2:
18
Lattice="9.435 1.568 1.113 6.023 7.429 1.113 6.023 3.506 6.644" Properties=species:S:1:pos:R:3 comment="La2Cu3PdPt12 | Alexandria via LeMat-Bulk | PBE | relaxed" mass_density_g_cm3=13.8 magmom_total_mub_per_cell=0.0 delta_e_f_ev_per_atom=-0.1320 pbc="T T T"
La 14.242 8.290 5.880
La 7.239 4.214 2.989
Cu 4.717 0.784 0.556
Cu 3.012 3.715 0.556
Cu 3.012 1.753 3.322
Pd 0.000 0.000 0.000
Pt 11.312 6.585 6.314
Pt 16.489 9.598 4.465
Pt 14.566 10.690 7.583
Pt 12.661 5.818 4.127
Pt 16.489 7.387 7.583
Pt 11.312 8.136 4.127
Pt 10.169 5.919 2.555
Pt 4.991 2.905 4.404
Pt 6.914 1.813 1.286
Pt 8.820 6.685 4.742
Pt 4.991 5.117 1.286
Pt 10.169 4.368 4.742



Entry 3:
5
Lattice="5.397 0.000 0.000 0.000 4.592 0.000 0.000 0.000 5.397" Properties=species:S:1:pos:R:3 comment="La2CuPdPt | Alexandria via LeMat-Bulk | PBE | relaxed" mass_density_g_cm3=8.0 magmom_total_mub_per_cell=0.0 delta_e_f_ev_per_atom=-0.1380 pbc="T T T"
Cu 0.000 0.000 0.000
Pd 2.699 2.296 2.699
Pt 0.000 2.296 0.000
La 0.000 0.000 2.699
La 2.699 0.000 0.000



Entry 4:
12
Lattice="5.591 0.000 0.000 0.000 6.576 0.000 0.000 -3.288 6.228" Properties=species:S:1:pos:R:3 comment="LaCuPdPt3 | Alexandria via LeMat-Bulk | PBE | relaxed" mass_density_g_cm3=13.0 magmom_total_mub_per_cell=0.0 delta_e_f_ev_per_atom=-0.4092 pbc="T T T"
La 4.194 0.000 3.754
La 1.398 3.288 2.474
Cu 1.398 0.000 4.373
Cu 4.194 3.288 1.855
Pd 1.398 3.288 5.141
Pd 4.194 0.000 1.086
Pt 1.398 0.000 1.838
Pt 0.000 1.976 0.000
Pt 2.796 4.599 0.000
Pt 2.796 1.976 0.000
Pt 0.000 4.599 0.000
Pt 4.194 3.288 4.390



Entry 5:
12
Lattice="5.515 0.000 0.000 0.000 6.006 0.000 0.000 -3.003 6.354" Properties=species:S:1:pos:R:3 comment="LaCu3PdPt | Alexandria via LeMat-Bulk | PBE | relaxed" mass_density_g_cm3=10.0 magmom_total_mub_per_cell=0.0 delta_e_f_ev_per_atom=-0.3444 pbc="T T T"
La 4.136 0.000 3.721
La 1.379 3.003 2.633
Cu 1.379 0.000 1.638
Cu 0.000 1.803 0.000
Cu 2.758 4.203 0.000
Cu 2.758 1.803 0.000
Cu 0.000 4.203 0.000
Cu 4.136 3.003 4.716
Pd 1.379 3.003 5.277
Pd 4.136 0.000 1.076
Pt 1.379 0.000 4.368
Pt 4.136 3.003 1.986



Entry 6:
10
Lattice="-2.049 1.998 3.299 4.938 -3.282 5.055 2.474 6.448 -2.368" Properties=species:S:1:pos:R:3 comment="La2CuPdPt | Alexandria via LeMat-Bulk | PBE | relaxed" mass_density_g_cm3=9.2 magmom_total_mub_per_cell=0.0 delta_e_f_ev_per_atom=-0.7483 pbc="T T T"
La 4.206 2.668 5.332
La 2.003 -0.524 5.897
La 1.157 2.495 0.653
La 3.360 5.687 0.089
Cu 3.771 2.767 2.112
Cu 1.593 2.397 3.874
Pd 6.116 3.439 3.161
Pd -0.753 1.725 2.824
Pt 3.643 0.360 3.490
Pt 1.720 4.804 2.495



> Which formula does entry 5 have?

LaCu3PdPt